Below is crystalline Cr2InIr at its relaxed geometry, with properties calculated at the GGA-PBEsol level.

Its density of states at the Fermi level is 2.637 states/eV/cell. The energy relative to the elements comes out at 56.4 kJ/mol of formula units.

abc: 2.9424 2.9424 6.4684
angles: 90.00 90.00 90.00
Closest atoms and distances in Å follow each position.
Sites, in units of the cell vectors:
Cr1 0.0000 0.0000 0.0297  4 Cr 2.35, 4 Ir 2.63
Cr2 0.5000 0.5000 0.1995  4 Cr 2.35
In1 0.0000 0.0000 0.4888  5 Cr 2.80-2.97, 4 Ir 2.81, 4 In 2.94
Ir1 0.5000 0.5000 0.7820  5 Cr 2.63-2.70, 4 In 2.81